A geometry-optimized Sc3BiI structure. Source: the Alexandria database, functional PBE.

Unit cell a=5.2940 b=5.2940 c=5.2940 alpha=90.00 beta=90.00 gamma=90.00
Closest atoms and distances in Å follow each position.
Atoms (fractional coordinates):
1 Sc 0.0000 0.0000 0.5000  2 I 2.65
2 Sc 0.0000 0.5000 0.0000  2 I 2.65
3 Sc 0.5000 0.0000 0.0000  2 I 2.65
4 Bi 0.5000 0.5000 0.5000  12 Sc 3.74
5 I 0.0000 0.0000 0.0000  6 Sc 2.65

Results
Total magnetization ... 0.00 Bohr magnetons per cell
Formation energy without anion corrections ... 1.086 eV/f.u.
Crystal system ... cubic
Offset from the most stable computed form ... 0 meV per atom

A geometry-optimized SrFeBi2Pb structure. Source: the Alexandria database, functional PBE.

Unit cell a=5.3165 b=5.3165 c=5.1806 alpha=90.00 beta=90.00 gamma=90.00
Closest atoms and distances in Å follow each position.
Atoms (fractional coordinates):
1 Sr 0.0000 0.0000 0.0000  8 Bi 3.71, 4 Pb 3.76
2 Fe 0.5000 0.5000 0.5000  2 Pb 2.59, 4 Bi 2.66
3 Bi 0.0000 0.5000 0.5000  2 Fe 2.66
4 Bi 0.5000 0.0000 0.5000  2 Fe 2.66
5 Pb 0.5000 0.5000 0.0000  2 Fe 2.59

Results
Uncorrected energy ... -21.20 eV/cell
Total magnetization ... 0.00 Bohr magnetons per cell
Crystal system ... tetragonal

A geometry-optimized CaPmNd2Dy4 structure. Source: the Alexandria database, functional PBE.

Unit cell a=9.6466 b=9.6466 c=6.8756 alpha=110.87 beta=110.87 gamma=88.34
Closest atoms and distances in Å follow each position.
Atoms (fractional coordinates):
1 Ca 0.0000 0.0000 0.0000  6 Dy 3.38-3.60, 2 Ca 3.44
2 Ca 0.0000 0.0000 0.5000  6 Dy 3.38-3.60, 2 Ca 3.44
3 Pm 0.0000 0.5000 0.0000  6 Dy 3.36-3.47, 2 Nd 3.44
4 Pm 0.5000 0.0000 0.5000  6 Dy 3.36-3.47, 2 Nd 3.44
5 Nd 0.0000 0.5000 0.5000  6 Dy 3.37-3.47, 2 Pm 3.44
6 Nd 0.5000 0.0000 0.0000  6 Dy 3.37-3.47, 2 Pm 3.44
7 Nd 0.5000 0.5000 0.0000  6 Dy 3.32-3.34, 2 Nd 3.44
8 Nd 0.5000 0.5000 0.5000  6 Dy 3.32-3.34, 2 Nd 3.44
9 Dy 0.2504 0.7472 0.4987  3 Nd 3.34-3.47, 1 Ca 3.38, 2 Dy 3.44, 2 Pm 3.45-3.47
10 Dy 0.2528 0.7496 0.0013  3 Nd 3.34-3.47, 1 Ca 3.38, 2 Dy 3.44, 2 Pm 3.45-3.47
11 Dy 0.2627 0.2631 0.0136  3 Nd 3.32-3.37, 1 Pm 3.36, 2 Dy 3.44, 2 Ca 3.59-3.60
12 Dy 0.2631 0.2627 0.5136  3 Nd 3.32-3.37, 1 Pm 3.36, 2 Dy 3.44, 2 Ca 3.59-3.60
13 Dy 0.7369 0.7373 0.4864  3 Nd 3.32-3.37, 1 Pm 3.36, 2 Dy 3.44, 2 Ca 3.59-3.60
14 Dy 0.7373 0.7369 0.9864  3 Nd 3.32-3.37, 1 Pm 3.36, 2 Dy 3.44, 2 Ca 3.59-3.60
15 Dy 0.7472 0.2504 0.9987  3 Nd 3.34-3.47, 1 Ca 3.38, 2 Dy 3.44, 2 Pm 3.45-3.47
16 Dy 0.7496 0.2528 0.5013  3 Nd 3.34-3.47, 1 Ca 3.38, 2 Dy 3.44, 2 Pm 3.45-3.47

Results
Uncorrected energy ... -62.75 eV/cell
Total magnetization ... 2.35 Bohr magnetons per cell
Crystal system ... monoclinic

A geometry-optimized SmPaSi2Rh5 structure. Source: the Alexandria database, functional PBE.

Unit cell a=4.0177 b=4.0177 c=10.9532 alpha=90.00 beta=90.00 gamma=90.00
Closest atoms and distances in Å follow each position.
Atoms (fractional coordinates):
1 Sm 0.0000 0.0000 0.0000  4 Rh 2.84
2 Pa 0.0000 0.0000 0.5000  8 Rh 2.77
3 Si 0.5000 0.5000 0.2119  5 Rh 2.32-2.36
4 Si 0.5000 0.5000 0.7881  5 Rh 2.32-2.36
5 Rh 0.0000 0.5000 0.3256  2 Si 2.36
6 Rh 0.0000 0.5000 0.6744  2 Si 2.36
7 Rh 0.5000 0.0000 0.3256  2 Si 2.36
8 Rh 0.5000 0.0000 0.6744  2 Si 2.36
9 Rh 0.5000 0.5000 0.0000  2 Si 2.32

Results
Total magnetization ... 0.00 Bohr magnetons per cell
Formation energy without anion corrections ... -6.583 eV/f.u.
Crystal system ... tetragonal

A geometry-optimized U2BiS structure. Source: the Alexandria database, functional PBE.

Unit cell a=7.2816 b=7.2816 c=7.2816 alpha=33.03 beta=33.03 gamma=33.03
Closest atoms and distances in Å follow each position.
Atoms (fractional coordinates):
1 U 0.2321 0.2321 0.2321  3 S 2.75
2 U 0.7679 0.7679 0.7679  3 S 2.75
3 Bi 0.0000 0.0000 0.0000  6 U 3.17
4 S 0.5000 0.5000 0.5000  6 U 2.75

Results
Total magnetization ... 5.05 Bohr magnetons per cell
Formation energy without anion corrections ... -2.258 eV/f.u.
Crystal system ... trigonal
Offset from the most stable computed form ... 0 meV per atom

A geometry-optimized ThGa6Pt4 structure. Source: the Alexandria database, functional PBE.

Unit cell a=7.4402 b=7.4402 c=4.0277 alpha=90.00 beta=90.00 gamma=120.00
Closest atoms and distances in Å follow each position.
Atoms (fractional coordinates):
1 Th 0.0000 0.0000 0.0000  6 Pt 3.26, 6 Ga 3.26
2 Ga 0.1991 0.3983 0.5000  4 Pt 2.56-2.65
3 Ga 0.1991 0.8009 0.5000  4 Pt 2.56-2.65
4 Ga 0.5328 0.0655 0.0000  5 Pt 2.57-2.66
5 Ga 0.5328 0.4672 0.0000  5 Pt 2.57-2.66
6 Ga 0.6017 0.8009 0.5000  4 Pt 2.56-2.65
7 Ga 0.9345 0.4672 0.0000  5 Pt 2.57-2.66
8 Pt 0.3333 0.6667 0.0000  9 Ga 2.57-2.65
9 Pt 0.3969 0.1984 0.5000  6 Ga 2.56-2.66
10 Pt 0.8016 0.1984 0.5000  6 Ga 2.56-2.66
11 Pt 0.8016 0.6031 0.5000  6 Ga 2.56-2.66

Results
Uncorrected energy ... -58.14 eV/cell
Total magnetization ... 0.00 Bohr magnetons per cell
Crystal system ... hexagonal

A geometry-optimized LaSmSbP structure. Source: the Alexandria database, functional PBE.

Unit cell a=7.6359 b=7.6359 c=7.6359 alpha=33.04 beta=33.04 gamma=33.04
Closest atoms and distances in Å follow each position.
Atoms (fractional coordinates):
1 La 0.0000 0.0000 0.0000  3 P 3.02, 3 Sb 3.23
2 Sm 0.5150 0.5150 0.5150  3 P 2.97, 3 Sb 3.15
3 Sb 0.7605 0.7605 0.7605  3 Sm 3.15, 3 La 3.23
4 P 0.2555 0.2555 0.2555  3 Sm 2.97, 3 La 3.02

Results
Total magnetization ... 0.00 Bohr magnetons per cell
Formation energy without anion corrections ... -5.473 eV/f.u.
Crystal system ... trigonal

A geometry-optimized ZnTcAs structure. Source: the Alexandria database, functional PBE.

Unit cell a=3.0092 b=3.0092 c=6.3140 alpha=90.00 beta=90.00 gamma=120.00
Closest atoms and distances in Å follow each position.
Atoms (fractional coordinates):
1 Zn 0.0000 0.0000 0.0000  3 Tc 2.71, 6 Zn 3.01, 3 As 3.02
2 Tc 0.3333 0.6667 0.6711  3 As 2.48, 3 Zn 2.71
3 As 0.6667 0.3333 0.3908  3 Tc 2.48

Results
Total magnetization ... 0.00 Bohr magnetons per cell
Crystal system ... trigonal
Offset from the most stable computed form ... 148 meV per atom

A geometry-optimized Zr2Ti2Zn3 structure. Source: the Alexandria database, functional PBE.

Unit cell a=10.7214 b=10.7214 c=2.8068 alpha=90.00 beta=90.00 gamma=157.41
Closest atoms and distances in Å follow each position.
Atoms (fractional coordinates):
1 Zr 0.0754 0.9246 0.0000  2 Zr 2.81, 1 Ti 2.89, 8 Zn 2.98-3.05
2 Zr 0.9246 0.0754 0.0000  2 Zr 2.81, 1 Ti 2.89, 8 Zn 2.98-3.05
3 Ti 0.2131 0.7869 0.0000  4 Ti 2.61-2.81, 4 Zn 2.79, 1 Zr 2.89
4 Ti 0.7869 0.2131 0.0000  4 Ti 2.61-2.81, 4 Zn 2.79, 1 Zr 2.89
5 Zn 0.3431 0.6569 0.5000  6 Ti 2.79-3.07, 2 Zn 2.81, 4 Zr 3.05
6 Zn 0.5000 0.5000 0.5000  2 Zn 2.81, 8 Zr 2.98
7 Zn 0.6569 0.3431 0.5000  6 Ti 2.79-3.07, 2 Zn 2.81, 4 Zr 3.05

Results
Uncorrected energy ... -37.33 eV/cell
Total magnetization ... 2.30 Bohr magnetons per cell
Crystal system ... orthorhombic

A geometry-optimized TaBRu3 structure. Source: the Alexandria database, functional PBE.

Unit cell a=7.9927 b=7.9927 c=4.7939 alpha=96.94 beta=96.94 gamma=61.61
Closest atoms and distances in Å follow each position.
Atoms (fractional coordinates):
1 Ta 0.1053 0.8947 0.7500  2 B 2.50, 6 Ru 2.64-2.80
2 Ta 0.3348 0.6652 0.2500  6 B 2.39-2.62, 2 Ru 2.66
3 Ta 0.6652 0.3348 0.7500  6 B 2.39-2.62, 2 Ru 2.66
4 Ta 0.8947 0.1053 0.2500  2 B 2.50, 6 Ru 2.64-2.80
5 B 0.3291 0.5444 0.7302  1 B 1.72
6 B 0.4556 0.6709 0.7698  1 B 1.72
7 B 0.5444 0.3291 0.2302  1 B 1.72
8 B 0.6709 0.4556 0.2698  1 B 1.72
9 Ru 0.0678 0.2468 0.6367  2 Ta 2.64-2.80, 9 Ru 2.68-2.81
10 Ru 0.0707 0.5823 0.8660  1 B 2.11
11 Ru 0.2468 0.0678 0.1367  2 Ta 2.64-2.80, 9 Ru 2.68-2.81
12 Ru 0.2509 0.3977 0.3670  2 B 2.18-2.30
13 Ru 0.3977 0.2509 0.8670  2 B 2.18-2.30
14 Ru 0.4177 0.9293 0.6340  1 B 2.11
15 Ru 0.5823 0.0707 0.3660  1 B 2.11
16 Ru 0.6023 0.7491 0.1330  2 B 2.18-2.30
17 Ru 0.7491 0.6023 0.6330  2 B 2.18-2.30
18 Ru 0.7532 0.9322 0.8633  2 Ta 2.64-2.80, 9 Ru 2.68-2.81
19 Ru 0.9293 0.4177 0.1340  1 B 2.11
20 Ru 0.9322 0.7532 0.3633  2 Ta 2.64-2.80, 9 Ru 2.68-2.81

Results
Uncorrected energy ... -188.41 eV/cell
Total magnetization ... 0.00 Bohr magnetons per cell
Crystal system ... monoclinic

A geometry-optimized TlSb4Au5 structure. Source: the Alexandria database, functional PBE.

Unit cell a=7.7495 b=14.0180 c=4.7156 alpha=90.00 beta=90.00 gamma=90.00
Closest atoms and distances in Å follow each position.
Atoms (fractional coordinates):
1 Tl 0.2500 0.2500 0.0503  4 Sb 3.23-3.28, 4 Au 3.49
2 Tl 0.7500 0.7500 0.9497  4 Sb 3.23-3.28, 4 Au 3.49
3 Sb 0.0393 0.7500 0.4577  4 Au 2.76-2.95
4 Sb 0.2500 0.5040 0.6868  4 Au 2.77-2.88
5 Sb 0.2500 0.9960 0.6868  4 Au 2.77-2.88
6 Sb 0.4607 0.7500 0.4577  4 Au 2.76-2.95
7 Sb 0.5393 0.2500 0.5423  4 Au 2.76-2.95
8 Sb 0.7500 0.0040 0.3132  4 Au 2.77-2.88
9 Sb 0.7500 0.4960 0.3132  4 Au 2.77-2.88
10 Sb 0.9607 0.2500 0.5423  4 Au 2.76-2.95
11 Au 0.0571 0.5814 0.1557  3 Sb 2.76-2.88, 3 Au 2.85-2.99
12 Au 0.0571 0.9186 0.1557  3 Sb 2.76-2.88, 3 Au 2.85-2.99
13 Au 0.2500 0.7500 0.9367  4 Sb 2.79-2.95, 4 Au 2.98
14 Au 0.4429 0.5814 0.1557  3 Sb 2.76-2.88, 3 Au 2.85-2.99
15 Au 0.4429 0.9186 0.1557  3 Sb 2.76-2.88, 3 Au 2.85-2.99
16 Au 0.5571 0.0814 0.8443  3 Sb 2.76-2.88, 3 Au 2.85-2.99
17 Au 0.5571 0.4186 0.8443  3 Sb 2.76-2.88, 3 Au 2.85-2.99
18 Au 0.7500 0.2500 0.0633  4 Sb 2.79-2.95, 4 Au 2.98
19 Au 0.9429 0.0814 0.8443  3 Sb 2.76-2.88, 3 Au 2.85-2.99
20 Au 0.9429 0.4186 0.8443  3 Sb 2.76-2.88, 3 Au 2.85-2.99

Results
Total magnetization ... 0.00 Bohr magnetons per cell
Formation energy without anion corrections ... -0.023 eV/f.u.
Crystal system ... orthorhombic

A geometry-optimized Ba3CoIr structure. Source: the Alexandria database, functional PBE.

Unit cell a=5.5130 b=5.5130 c=5.5130 alpha=90.00 beta=90.00 gamma=90.00
Closest atoms and distances in Å follow each position.
Atoms (fractional coordinates):
1 Ba 0.0000 0.0000 0.5000  2 Co 2.76
2 Ba 0.0000 0.5000 0.0000  2 Co 2.76
3 Ba 0.5000 0.0000 0.0000  2 Co 2.76
4 Co 0.0000 0.0000 0.0000  6 Ba 2.76
5 Ir 0.5000 0.5000 0.5000  12 Ba 3.90

Results
Uncorrected energy ... -18.57 eV/cell
Total magnetization ... 0.00 Bohr magnetons per cell
Crystal system ... cubic